GGA-PBE Ba4P2O, optimized geometry; raw formation energy = -1.358 eV/atom; space group = No. 11
1.0
-6.943 2.165 1.933
-1.235 -6.630 2.990
5.699 2.081 6.970
Ba P O
8 4 2
Cartesian
-2.571 -1.771 4.202
3.877 -2.948 8.715
-6.356 0.565 3.177
-3.176 -5.020 5.667
-3.296 1.726 7.015
0.697 2.637 6.226
0.091 -0.612 7.691
0.816 -4.109 4.877
-5.628 -3.299 4.010
3.149 0.916 7.883
0.462 -0.215 4.265
-2.942 -2.168 7.628
-1.602 -4.024 4.066
-0.877 1.641 7.826